The following is a DFT calculation (GGA+U) of crystalline CoTc2AsO at its relaxed geometry.

Lattice parameters (Å, degrees): 4.221 4.221 3.556 90.00 90.00 90.00
Fractional positions:
Co1 0.000 0.000 0.000
Tc1 0.000 0.500 0.500
Tc2 0.500 0.000 0.500
As1 0.500 0.500 0.000
O1 0.000 0.000 0.500

DOS(E_F) ... 4.97 states/eV/f.u.
Symmetry ... No. 123
Uncorrected energy ... -6.79 eV/atom
ΔE to the lowest computed polymorph ... 0.0000 eV/atom
Spin magnetization ... 0.0 μB per formula unit